An optimized crystal structure of Pu2Mg2H7. Source: Alexandria, functional PBE-GGA.

Unit cell a=5.0155 b=5.0155 c=4.7923 alpha=90.00 beta=90.00 gamma=97.47
Sites, in units of the cell vectors:
1 Pu 0.2351 0.2351 0.0000
2 Pu 0.7649 0.7649 0.0000
3 Mg 0.2733 0.7267 0.5000
4 Mg 0.7267 0.2733 0.5000
5 H 0.0000 0.0000 0.5000
6 H 0.0000 0.5000 0.2535
7 H 0.0000 0.5000 0.7465
8 H 0.5000 0.0000 0.2535
9 H 0.5000 0.0000 0.7465
10 H 0.5000 0.5000 0.2648
11 H 0.5000 0.5000 0.7352

Space group ... Cmmm
Uncorrected energy ... -57.9 eV per cell

---

An optimized crystal structure of Pu3Mg2H8. Source: Alexandria, functional PBE-GGA.

Unit cell a=7.1356 b=7.1356 c=7.1356 alpha=42.97 beta=42.97 gamma=42.97
Sites, in units of the cell vectors:
1 Pu 0.0000 0.0000 0.0000
2 Pu 0.1977 0.1977 0.1977
3 Pu 0.8023 0.8023 0.8023
4 Mg 0.4067 0.4067 0.4067
5 Mg 0.5933 0.5933 0.5933
6 H 0.1756 0.7608 0.7608
7 H 0.2392 0.2392 0.8244
8 H 0.2392 0.8244 0.2392
9 H 0.3121 0.3121 0.3121
10 H 0.6879 0.6879 0.6879
11 H 0.7608 0.1756 0.7608
12 H 0.7608 0.7608 0.1756
13 H 0.8244 0.2392 0.2392

Space group ... R-3m
Uncorrected energy ... -74.2 eV per cell

---

Q: The lowest uncorrected energy belongs to which entry?
A: Pu3Mg2H8